No. 1
DFT (GGA-PBE) results for crystalline RbS2N4 at its relaxed geometry.

Magnetization   0.1 μB per cell
Mass density   1.77 g/cm3
Symmetry   C2/m, No. 12
Electronic total energy   -6.23 eV/atom
Formation energy (no corrections)   -0.160 eV/atom
Crystal system   monoclinic

a b c (Å): 3.622 29.513 16.487
angles (deg): 169.03 144.70 37.90
Positions (direct):
Rb1 0.000 0.000 0.000
S1 0.356 0.445 0.000
S2 0.644 0.555 0.000
N1 0.744 0.016 0.479
N2 0.256 0.984 0.521
N3 0.735 0.463 0.479
N4 0.265 0.537 0.521

No. 2
DFT (GGA-PBE) results for crystalline Dy2HoEr4Th at its relaxed geometry.

ΔE_f   0.03 eV per atom
Magnetization   0.0 μB per cell
Mass density   9.29 g/cm3
Symmetry   P2/m, No. 10
Electronic total energy   -4.90 eV/atom
Crystal system   monoclinic

a b c (Å): 5.010 4.998 11.110
angles (deg): 63.31 90.00 90.00
Positions (direct):
Dy1 0.000 0.000 0.000
Dy2 0.500 0.000 0.500
Ho1 0.500 0.500 0.000
Er1 0.000 0.751 0.749
Er2 0.000 0.249 0.251
Er3 0.500 0.748 0.252
Er4 0.500 0.252 0.748
Th1 0.000 0.500 0.500